Computed, not measured: a geometry-optimized RbAsPdPb structure at the PBE level of DFT.

Lattice parameters (Å, degrees): 4.3916 4.3916 7.7113 90.02 106.54 119.97
Closest atoms and distances in Å follow each position.
Fractional coordinates of all 4 atoms:
Rb 0.3910 0.0604 0.4514  3 As 3.52, 3 Pd 3.80, 2 Pb 3.94
Pb 0.0013 0.8650 0.8663  3 Pd 2.91, 3 As 3.12
As 0.5007 0.6151 0.1157  3 Pd 2.56-2.57
Pd 0.7991 0.2640 0.0631  3 As 2.56-2.57

Output
Space group: R3m (160)
ΔE_f (kJ per mole of atoms): -35.7